DFT (PBE-GGA) results for Ce2SmI8 after structural relaxation.

Cell lengths 6.5048, 9.8971, 9.8971 Å; angles 120.00, 90.00, 90.00 degrees
Closest atoms and distances in Å follow each position.
Element x y z (fractional)
Ce: 0.7181 0.6667 0.3333  5 I 3.11-3.32
Ce: 0.2819 0.3333 0.6667  5 I 3.11-3.32
Sm: 0.5000 0.0000 0.0000  6 I 3.10
I: 0.7716 0.3333 0.6667  2 Ce 3.19-3.32
I: 0.2284 0.6667 0.3333  2 Ce 3.19-3.32
I: 0.2427 0.1523 0.3045  1 Sm 3.10, 1 Ce 3.11
I: 0.7573 0.8477 0.6955  1 Sm 3.10, 1 Ce 3.11
I: 0.7573 0.3045 0.1523  1 Sm 3.10, 1 Ce 3.11
I: 0.2427 0.6955 0.8477  1 Sm 3.10, 1 Ce 3.11
I: 0.2427 0.1523 0.8477  1 Sm 3.10, 1 Ce 3.11
I: 0.7573 0.8477 0.1523  1 Sm 3.10, 1 Ce 3.11

Values from the calculation:
Space-group type: P-3m1 (164)
Calculated volume, A^3/atom: 50.16
Formation energy without anion corrections, eV per atom: -1.179

***

DFT (PBE-GGA) results for CeSmTeI after structural relaxation.

Cell lengths 5.4542, 5.4542, 5.4542 Å; angles 60.00, 60.00, 60.00 degrees
Closest atoms and distances in Å follow each position.
Element x y z (fractional)
I: 0.7500 0.7500 0.7500  4 Ce 3.34, 4 Sm 3.34
Te: 0.2500 0.2500 0.2500  4 Ce 3.34, 4 Sm 3.34
Ce: 0.0000 0.0000 0.0000  4 I 3.34, 4 Te 3.34
Sm: 0.5000 0.5000 0.5000  4 I 3.34, 4 Te 3.34

Values from the calculation:
Space-group type: F-43m (216)
Calculated volume, A^3/atom: 28.68
Formation energy without anion corrections, eV per atom: -1.015

***

DFT (PBE-GGA) results for Ce4SnI5 after structural relaxation.

Cell lengths 4.3926, 9.3015, 9.9435 Å; angles 100.55, 102.76, 90.00 degrees
Closest atoms and distances in Å follow each position.
Element x y z (fractional)
Ce: 0.6642 0.0652 0.3284  1 Sn 3.13, 5 I 3.25-3.26
Ce: 0.0020 0.2351 0.0039  2 Sn 3.09, 4 I 3.20-3.31
Ce: 0.3358 0.9348 0.6716  1 Sn 3.13, 5 I 3.25-3.26
Ce: 0.9980 0.7649 0.9961  2 Sn 3.09, 4 I 3.20-3.31
Sn: 0.5000 0.0000 0.0000  6 Ce 3.09-3.13
I: 0.1697 0.3247 0.3393  3 Ce 3.20-3.25
I: 0.1677 0.8080 0.3354  4 Ce 3.24-3.26
I: 0.8323 0.1920 0.6646  4 Ce 3.24-3.26
I: 0.5000 0.5000 0.0000  4 Ce 3.31
I: 0.8303 0.6753 0.6607  3 Ce 3.20-3.25

Values from the calculation:
Space-group type: C2/m (12)
Calculated volume, A^3/atom: 38.92
Formation energy without anion corrections, eV per atom: -1.051

***

DFT (PBE-GGA) results for Ce2SnI after structural relaxation.

Cell lengths 4.4502, 4.4502, 8.3325 Å; angles 74.51, 74.51, 60.00 degrees
Closest atoms and distances in Å follow each position.
Element x y z (fractional)
Ce: 0.0747 0.0747 0.7760  3 Sn 3.10, 3 I 3.34
Ce: 0.2591 0.2591 0.2226  3 Sn 3.14, 3 I 3.41
Sn: 0.6683 0.6683 0.9951  6 Ce 3.10-3.14
I: 0.4979 0.4979 0.5063  6 Ce 3.34-3.41

Values from the calculation:
Space-group type: R3m (160)
ΔE to the lowest computed polymorph, meV per atom: 57
Calculated volume, A^3/atom: 33.99
Formation energy without anion corrections, eV per atom: -0.668

***

DFT (PBE-GGA) results for Ce6SnI8 after structural relaxation.

Cell lengths 7.6414, 7.6414, 12.4135 Å; angles 72.07, 72.07, 60.00 degrees
Closest atoms and distances in Å follow each position.
Element x y z (fractional)
Ce: 0.9473 0.6159 0.1581  1 Sn 3.13, 5 I 3.14-3.27
Ce: 0.7213 0.0527 0.8419  1 Sn 3.13, 5 I 3.14-3.27
Ce: 0.3841 0.7213 0.8419  1 Sn 3.13, 5 I 3.14-3.27
Ce: 0.6159 0.2787 0.1581  1 Sn 3.13, 5 I 3.14-3.27
Ce: 0.2787 0.9473 0.1581  1 Sn 3.13, 5 I 3.14-3.27
Ce: 0.0527 0.3841 0.8419  1 Sn 3.13, 5 I 3.14-3.27
Sn: 0.0000 0.0000 0.0000  6 Ce 3.13
I: 0.7789 0.4424 0.6681  3 Ce 3.24-3.27
I: 0.8894 0.2211 0.3319  3 Ce 3.24-3.27
I: 0.5576 0.8894 0.3319  3 Ce 3.24-3.27
I: 0.3333 0.3333 0.0000  6 Ce 3.14
I: 0.6667 0.6667 0.0000  6 Ce 3.14
I: 0.4424 0.1106 0.6681  3 Ce 3.24-3.27
I: 0.1106 0.7789 0.6681  3 Ce 3.24-3.27
I: 0.2211 0.5576 0.3319  3 Ce 3.24-3.27

Values from the calculation:
Space-group type: R-3 (148)
Calculated volume, A^3/atom: 39.12
Formation energy without anion corrections, eV per atom: -1.058

***

DFT (PBE-GGA) results for Ce4Sn2I3 after structural relaxation.

Cell lengths 4.5594, 4.5594, 18.3753 Å; angles 90.00, 90.00, 120.00 degrees
Closest atoms and distances in Å follow each position.
Element x y z (fractional)
Ce: 0.3333 0.6667 0.8971  3 Sn 3.16, 3 I 3.24
Ce: 0.0000 0.0000 0.2932  3 Sn 3.17, 3 I 3.27
Ce: 0.0000 0.0000 0.7068  3 Sn 3.17, 3 I 3.27
Ce: 0.6667 0.3333 0.1029  3 Sn 3.16, 3 I 3.24
Sn: 0.6667 0.3333 0.8024  6 Ce 3.16-3.17
Sn: 0.3333 0.6667 0.1976  6 Ce 3.16-3.17
I: 0.6667 0.3333 0.3991  3 Ce 3.27
I: 0.0000 0.0000 0.0000  6 Ce 3.24
I: 0.3333 0.6667 0.6009  3 Ce 3.27

Values from the calculation:
Space-group type: P-3m1 (164)
Calculated volume, A^3/atom: 36.76
Formation energy without anion corrections, eV per atom: -0.875